RbV2SiO8 | PBE with a Hubbard U | optimized geometry

## Properties
Total DFT energy (no corrections) in eV/atom: -7.023
Size of the total moment in μB/f.u.: 1.04

abc: 5.381 5.381 7.908
angles: 90.00 90.00 120.00
Site moments in Bohr magnetons follow the coordinates.
Positions (direct):
V 0.667 0.333 0.299  -0.10
V 0.333 0.667 0.701  -0.10
O 0.845 0.153 0.369  0.14
O 0.308 0.155 0.369  0.14
O 0.153 0.308 0.631  0.14
O 0.155 0.847 0.631  0.14
O 0.847 0.692 0.369  0.14
O 0.333 0.667 0.911  0.10
O 0.667 0.333 0.089  0.10
O 0.692 0.845 0.631  0.14
Rb 0.000 0.000 0.000  0.00
Si 0.000 0.000 0.500  -0.01